Here is a geometry-optimized K2Sr structure from Alexandria via LeMat-Bulk. Energies are from PBE.

```
K2Sr
1.0
-2.194 3.324 6.793
2.194 -3.324 6.793
2.194 3.324 -6.793
K Sr
2 1
Cartesian
0.000 0.000 2.248 K
0.000 0.000 11.338 K
0.000 0.000 6.793 Sr
```

Space-group type: Immm (71)
DFT formation energy, eV per atom: 0.119
Spin magnetization, μB/f.u.: 0.00
D(E_F), states/eV/cell: 3.17